Below is an optimized crystal structure of Na2Tl5F12, with properties calculated at the GGA-PBE level.

Summary:
Raw formation energy = -1.972 eV per atom
Crystal system = monoclinic
N(E_F) = 0.223 states/eV per atom

Lattice parameters (Å, degrees): 12.5943 7.4987 7.9934 90.00 110.01 90.00
Last column: nearest neighbours and their distance in Å.
Space group C2/m (No. 12)
Symmetry-distinct sites (fractional):
Na 0.0000 0.2452 0.0000 (multiplicity 4)  6 F 2.32-2.56
Tl 0.0000 0.0000 0.5000 (multiplicity 2)  4 F 2.13
Tl 0.1704 0.5000 0.4154 (multiplicity 4)  4 F 2.56-2.79
Tl 0.2458 0.5000 0.0000 (multiplicity 4)  6 F 2.24-2.38
F 0.0578 0.5000 0.8660 (multiplicity 4)  1 Tl 2.24, 2 Na 2.42
F 0.0609 0.0000 0.8286 (multiplicity 4)  2 Tl 2.35-2.47, 2 Na 2.56
F 0.1288 0.1911 0.5162 (multiplicity 8)  1 Tl 2.13
F 0.1958 0.2408 0.1272 (multiplicity 8)  2 Tl 2.31-2.38, 1 Na 2.32

=====

Below is an optimized crystal structure of YIrPb3, with properties calculated at the GGA-PBE level.

Summary:
Crystal system = cubic
Energy of formation from the pure elements = 1439 meV/atom
N(E_F) = 1.394 states/eV per atom

Lattice parameters (Å, degrees): 5.7378 5.7378 5.7378 90.00 90.00 90.00
Last column: nearest neighbours and their distance in Å.
Space group Pm-3m (No. 221)
Symmetry-distinct sites (fractional):
Y 0.0000 0.0000 0.0000 (multiplicity 1)  6 Pb 2.87
Ir 0.5000 0.5000 0.5000 (multiplicity 1)  12 Pb 4.06
Pb 0.0000 0.0000 0.5000 (multiplicity 3)  2 Y 2.87

=====

Below is an optimized crystal structure of Tb3SmPb2, with properties calculated at the GGA-PBE level.

Summary:
Crystal system = tetragonal
Energy of formation from the pure elements = -423 meV/atom
N(E_F) = 0.787 states/eV per atom

Lattice parameters (Å, degrees): 4.5816 4.5816 8.6883 90.00 90.00 90.00
Last column: nearest neighbours and their distance in Å.
Space group P-4m2 (No. 115)
Symmetry-distinct sites (fractional):
Tb 0.0000 0.0000 0.0000 (multiplicity 1)  4 Sm 3.24, 4 Pb 3.39
Tb 0.0000 0.5000 0.6560 (multiplicity 2)  5 Pb 3.20-3.28
Sm 0.5000 0.5000 0.0000 (multiplicity 1)  4 Tb 3.24, 4 Pb 3.39
Pb 0.0000 0.5000 0.2871 (multiplicity 2)  7 Tb 3.20-3.39, 2 Sm 3.39

=====

Below is an optimized crystal structure of TbThReNi, with properties calculated at the GGA-PBE level.

Summary:
Crystal system = cubic
Energy of formation from the pure elements = -73 meV/atom
N(E_F) = 0.745 states/eV per atom

Lattice parameters (Å, degrees): 6.9695 6.9695 6.9695 90.00 90.00 90.00
Last column: nearest neighbours and their distance in Å.
Space group F-43m (No. 216)
Symmetry-distinct sites (fractional):
Tb 0.0000 0.0000 0.0000 (multiplicity 4)  4 Re 3.02, 4 Ni 3.02
Th 0.0000 0.0000 0.5000 (multiplicity 4)  4 Ni 3.02, 4 Re 3.02
Re 0.2500 0.2500 0.7500 (multiplicity 4)  4 Tb 3.02, 4 Th 3.02
Ni 0.2500 0.2500 0.2500 (multiplicity 4)  4 Tb 3.02, 4 Th 3.02

=====

Below is an optimized crystal structure of Hg12Ge5Se3, with properties calculated at the GGA-PBE level.

Summary:
Raw formation energy = 0.162 eV per atom
Crystal system = cubic
N(E_F) = 0.496 states/eV per atom

Lattice parameters (Å, degrees): 16.4885 16.4885 16.4885 90.00 90.00 90.00
Last column: nearest neighbours and their distance in Å.
Space group Ia-3d (No. 230)
Symmetry-distinct sites (fractional):
Hg 0.0315 0.0763 0.6458 (multiplicity 96)  2 Ge 2.63-2.76, 1 Se 2.93
Ge 0.0000 0.0000 0.0000 (multiplicity 16)  6 Hg 2.76
Ge 0.0000 0.2500 0.3750 (multiplicity 24)  4 Hg 2.63
Se 0.0000 0.2500 0.1250 (multiplicity 24)  4 Hg 2.93

=====

Below is an optimized crystal structure of GdCu2Pd, with properties calculated at the GGA-PBE level.

Summary:
Crystal system = tetragonal
Energy of formation from the pure elements = -205 meV/atom
N(E_F) = 0.851 states/eV per atom

Lattice parameters (Å, degrees): 4.0110 4.0110 4.3720 90.00 90.00 90.00
Last column: nearest neighbours and their distance in Å.
Space group P4/mmm (No. 123)
Symmetry-distinct sites (fractional):
Gd 0.0000 0.0000 0.0000 (multiplicity 1)  4 Pd 2.84, 8 Cu 2.97
Cu 0.0000 0.5000 0.5000 (multiplicity 2)  4 Cu 2.84, 4 Gd 2.97, 4 Pd 2.97
Pd 0.5000 0.5000 0.0000 (multiplicity 1)  4 Gd 2.84, 8 Cu 2.97

=====

Below is an optimized crystal structure of Ba2Tl3Pd, with properties calculated at the GGA-PBE level.

Summary:
Crystal system = monoclinic
Energy of formation from the pure elements = -424 meV/atom
N(E_F) = 0.558 states/eV per atom

Lattice parameters (Å, degrees): 11.8865 5.1339 8.2973 90.00 130.10 90.00
Last column: nearest neighbours and their distance in Å.
Space group Cm (No. 8)
Symmetry-distinct sites (fractional):
Ba 0.0000 0.0000 0.0000 (multiplicity 2)  3 Pd 3.43-3.60, 7 Tl 3.62-3.80
Ba 0.1167 0.0000 0.5998 (multiplicity 2)  9 Tl 3.49-3.82, 2 Pd 3.87
Tl 0.2313 0.5000 0.3882 (multiplicity 2)  1 Pd 2.93, 2 Tl 3.16
Tl 0.3721 0.0000 0.1897 (multiplicity 2)  2 Pd 2.91, 1 Tl 3.20
Tl 0.4288 0.0000 0.6231 (multiplicity 2)  1 Pd 2.90, 3 Tl 3.16-3.20
Pd 0.2240 0.5000 0.0278 (multiplicity 2)  4 Tl 2.90-2.93

=====

Below is an optimized crystal structure of Pa3InSe6, with properties calculated at the GGA-PBE level.

Summary:
Raw formation energy = -1.139 eV per atom
Crystal system = monoclinic
N(E_F) = 1.388 states/eV per atom

Lattice parameters (Å, degrees): 11.9634 4.1351 12.2918 90.00 107.86 90.00
Last column: nearest neighbours and their distance in Å.
Space group P2_1/m (No. 11)
Symmetry-distinct sites (fractional):
Pa 0.0382 0.2500 0.1608 (multiplicity 2)  6 Se 2.86-2.93
Pa 0.1744 0.7500 0.4919 (multiplicity 2)  7 Se 2.85-3.04
Pa 0.3460 0.2500 0.9143 (multiplicity 2)  6 Se 2.83-2.90
In 0.4519 0.2500 0.3193 (multiplicity 2)  6 Se 3.14-3.47
Se 0.0030 0.2500 0.3813 (multiplicity 2)  4 Pa 2.87-2.99
Se 0.1241 0.2500 0.9640 (multiplicity 2)  4 Pa 2.90-2.93
Se 0.2020 0.7500 0.2615 (multiplicity 2)  3 Pa 2.86-2.95
Se 0.2916 0.7500 0.7492 (multiplicity 2)  3 Pa 2.83-3.04
Se 0.3450 0.2500 0.5227 (multiplicity 2)  2 Pa 2.85, 1 In 3.14
Se 0.4158 0.7500 0.0843 (multiplicity 2)  3 Pa 2.84-2.87

=====

Below is an optimized crystal structure of YCd, with properties calculated at the GGA-PBE level.

Summary:
Crystal system = hexagonal
Energy of formation from the pure elements = -179 meV/atom
N(E_F) = 0.892 states/eV per atom

Lattice parameters (Å, degrees): 3.6357 3.6357 9.8600 90.00 90.00 120.00
Last column: nearest neighbours and their distance in Å.
Space group P6_3/mmc (No. 194)
Symmetry-distinct sites (fractional):
Y 0.3333 0.6667 0.2500 (multiplicity 2)  6 Cd 3.24
Cd 0.0000 0.0000 0.0000 (multiplicity 2)  6 Y 3.24

=====

Below is an optimized crystal structure of AcPrTmSn, with properties calculated at the GGA-PBE level.

Summary:
Crystal system = cubic
Energy of formation from the pure elements = -167 meV/atom
N(E_F) = 1.611 states/eV per atom

Lattice parameters (Å, degrees): 7.9400 7.9400 7.9400 90.00 90.00 90.00
Last column: nearest neighbours and their distance in Å.
Space group F-43m (No. 216)
Symmetry-distinct sites (fractional):
Ac 0.0000 0.0000 0.0000 (multiplicity 4)  4 Tm 3.44, 4 Pr 3.44
Pr 0.2500 0.2500 0.2500 (multiplicity 4)  4 Ac 3.44, 4 Sn 3.44
Tm 0.2500 0.2500 0.7500 (multiplicity 4)  4 Ac 3.44, 4 Sn 3.44
Sn 0.0000 0.0000 0.5000 (multiplicity 4)  4 Pr 3.44, 4 Tm 3.44

=====

Below is an optimized crystal structure of NaTlBAu2, with properties calculated at the GGA-PBE level.

Summary:
Crystal system = tetragonal
Energy of formation from the pure elements = 148 meV/atom
N(E_F) = 0.401 states/eV per atom

Lattice parameters (Å, degrees): 4.4055 4.4055 5.1984 90.00 90.00 90.00
Last column: nearest neighbours and their distance in Å.
Space group P4/mmm (No. 123)
Symmetry-distinct sites (fractional):
Na 0.0000 0.0000 0.0000 (multiplicity 1)  2 B 2.60
Tl 0.5000 0.5000 0.0000 (multiplicity 1)  4 Na 3.12, 8 Au 3.41
B 0.0000 0.0000 0.5000 (multiplicity 1)  4 Au 2.20
Au 0.0000 0.5000 0.5000 (multiplicity 2)  2 B 2.20

=====

Below is an optimized crystal structure of Ca2LaP2, with properties calculated at the GGA-PBE level.

Summary:
Crystal system = tetragonal
Energy of formation from the pure elements = -851 meV/atom
N(E_F) = 0.596 states/eV per atom

Lattice parameters (Å, degrees): 4.3925 4.3925 12.4839 90.00 90.00 90.00
Last column: nearest neighbours and their distance in Å.
Space group I4/mmm (No. 139)
Symmetry-distinct sites (fractional):
Ca 0.0000 0.5000 0.2500 (multiplicity 4)  4 P 2.91, 4 Ca 3.11
La 0.0000 0.0000 0.0000 (multiplicity 2)  8 P 3.33
P 0.0000 0.0000 0.4030 (multiplicity 4)  1 P 2.42

=====

What did the tenth record say?
Below is an optimized crystal structure of AcPrTmSn, with properties calculated at the GGA-PBE level.

Summary:
Crystal system = cubic
Energy of formation from the pure elements = -167 meV/atom
N(E_F) = 1.611 states/eV per atom

Lattice parameters (Å, degrees): 7.9400 7.9400 7.9400 90.00 90.00 90.00
Last column: nearest neighbours and their distance in Å.
Space group F-43m (No. 216)
Symmetry-distinct sites (fractional):
Ac 0.0000 0.0000 0.0000 (multiplicity 4)  4 Tm 3.44, 4 Pr 3.44
Pr 0.2500 0.2500 0.2500 (multiplicity 4)  4 Ac 3.44, 4 Sn 3.44
Tm 0.2500 0.2500 0.7500 (multiplicity 4)  4 Ac 3.44, 4 Sn 3.44
Sn 0.0000 0.0000 0.5000 (multiplicity 4)  4 Pr 3.44, 4 Tm 3.44